# 1
NbSnBiOs2 | PBE-GGA | relaxed

```
NbSnBiOs2
1.0
4.8214 0.0000 0.0000
0.0000 5.4001 0.0000
0.0000 0.0000 4.8214
Nb Os Bi Sn
1 2 1 1
Direct
0.5000 0.5000 0.5000
0.0000 0.0000 0.5000
0.5000 0.0000 0.0000
0.0000 0.5000 0.0000
0.0000 0.0000 0.0000
```

Space group: P4/mmm, No. 123
Volume: 25.1 Å³/atom
Final energy: -5.757 eV/atom
Energy relative to the elements: 2.325 eV per atom



# 2
CaBS | PBE-GGA | relaxed

```
CaBS
1.0
-2.3871 0.0687 -2.4630
1.6813 -1.2696 -4.0448
-1.1494 -7.6285 0.8365
Ca B S
2 2 2
Direct
0.6117 0.3759 0.1085
0.4297 0.7268 0.5597
0.4077 0.0002 0.8820
0.9743 0.8668 0.8821
0.1114 0.3668 0.3809
0.0513 0.4457 0.8252
```

Space group: P1, No. 1
Volume: 18.6 Å³/atom
Formation energy (no corrections): -0.827 eV/atom
Final energy: -5.095 eV/atom



# 3
KLi2La | PBE-GGA | relaxed

```
KLi2La
1.0
3.7725 0.0000 0.0000
0.0000 3.7779 0.0000
0.0000 0.0000 9.7340
K La Li
1 1 2
Direct
0.5000 0.5000 0.2500
0.5000 0.5000 0.7500
0.0000 0.0000 0.9692
0.0000 0.0000 0.5308
```

Space group: P4/mmm, No. 123
Volume: 34.7 Å³/atom
Final energy: -2.265 eV/atom
Energy relative to the elements: 0.198 eV per atom



# 4
Li2CoNi | PBE-GGA | relaxed

```
Li2CoNi
1.0
-3.4553 -1.4826 8.1574
-3.6998 -3.8337 7.2315
-1.5099 -3.1081 8.2909
Co Li Ni
1 2 1
Direct
0.7548 0.7548 0.7548
0.0068 0.0068 0.0068
0.2421 0.2421 0.2421
0.4963 0.4963 0.4963
```

Space group: R3m, No. 160
Volume: 12.4 Å³/atom
Final energy: -4.081 eV/atom
Energy relative to the elements: 0.098 eV per atom



# 5
Ga3BiSb | PBE-GGA | relaxed

```
Ga3BiSb
1.0
-2.5277 -3.7789 2.7621
3.6497 0.3743 3.8521
-2.9307 3.7254 2.4148
Sb Bi Ga
1 1 3
Direct
0.0000 0.0000 0.0000
0.5000 0.5000 0.5000
0.0000 0.5000 0.0000
0.0000 0.0000 0.5000
0.5000 0.0000 0.0000
```

Space group: Pm-3m, No. 221
Volume: 30.1 Å³/atom
Formation energy (no corrections): 0.441 eV/atom
Final energy: -2.975 eV/atom



# 6
TaFeAg3 | PBE-GGA | relaxed

```
TaFeAg3
1.0
-3.2984 -2.1339 -3.2429
2.9521 -4.1421 -0.2770
-2.5209 -2.0587 3.9187
Fe Ag Ta
1 3 1
Direct
0.5000 0.5000 0.5000
0.0000 0.5000 0.0000
0.0000 0.0000 0.5000
0.5000 0.0000 0.0000
0.0000 0.0000 0.0000
```

Space group: Pm-3m, No. 221
Volume: 26.4 Å³/atom
Final energy: -3.861 eV/atom
Energy relative to the elements: 1.913 eV per atom



# 7
Cs6H2IBr3 | PBE-GGA | relaxed

```
Cs6H2IBr3
1.0
5.1210 0.0000 0.0000
0.0000 10.2804 0.3636
-2.5605 -2.9563 10.6953
Cs H I Br
6 2 1 3
Direct
0.3268 0.8972 0.6535
0.6740 0.5714 0.3481
0.6732 0.1028 0.3465
0.0113 0.2696 0.0225
0.9887 0.7304 0.9775
0.3260 0.4286 0.6519
0.8263 0.6552 0.6526
0.1737 0.3448 0.3474
0.5000 0.0000 0.0000
0.5000 0.5000 0.0000
0.8376 0.1705 0.6752
0.1624 0.8295 0.3248
```

Space group: C2/m, No. 12
Volume: 47.4 Å³/atom
Final energy: -2.710 eV/atom



# 8
SrMg6Zn6 | PBE-GGA | relaxed

```
SrMg6Zn6
1.0
0.0766 -5.2746 -1.6007
6.5088 -1.9218 -2.8482
2.1313 -4.4957 5.4237
Sr Mg Zn
1 6 6
Direct
0.0000 0.0000 0.0000
0.3506 0.6494 0.6494
0.6494 0.3506 0.3506
0.0000 0.3484 0.6516
0.0000 0.6516 0.3484
0.2971 0.2029 0.2029
0.7029 0.7971 0.7971
0.0000 0.5000 0.0000
0.5000 0.5000 0.0000
0.0000 0.0000 0.5000
0.5000 0.0000 0.5000
0.5000 0.7735 0.2265
0.5000 0.2265 0.7735
```

Space group: Immm, No. 71
Volume: 19.7 Å³/atom
Final energy: -1.590 eV/atom
Energy relative to the elements: -0.137 eV per atom



no.,mass density (g/cm3)
1,10.60
2,2.47
3,2.30
4,4.42
5,5.96
6,7.04
7,3.41
8,4.05